Entry from Alexandria: a geometry-optimized AcHoSc structure (PBE).

Energy relative to the elements in eV per atom: 0.176
Theoretical density in Mg/m³: 7.399
Relative energy among the computed polymorphs in meV per atom: 68.8

CIF file:
```
data_AcHoSc
_chemical_formula_sum 'Ac1 Ho1 Sc1'
_symmetry_space_group_name_H-M 'P -6 m 2'
_symmetry_Int_Tables_number 187
_symmetry_space_group_name_Hall 'P -6 2'
_cell_length_a 5.6674
_cell_length_b 5.6674
_cell_length_c 3.5250
_cell_angle_alpha 90.00
_cell_angle_beta 90.00
_cell_angle_gamma 120.00
loop_
_atom_site_label
_atom_site_type_symbol
_atom_site_fract_x
_atom_site_fract_y
_atom_site_fract_z
Ac1 Ac 0.0000 0.0000 0.0000
Ho1 Ho 0.6667 0.3333 0.5000
Sc1 Sc 0.3333 0.6667 0.0000
```